The following is a DFT calculation (PBE) of KHfZrSe3 after structural relaxation.

Cell lengths 4.035, 15.505, 10.235 Å; angles 90.00, 90.00, 90.00 degrees
Space group Cmcm (No. 63)
One atom of each set of equivalent atoms:
K: 0.000 0.244 0.250 x4
Hf: 0.000 0.000 0.000 x4
Zr: 0.000 0.479 0.750 x4
Se: 0.000 0.087 0.750 x4
Se: 0.000 0.380 0.543 x8

Values from the calculation:
* E above lowest polymorph: 31 meV per atom
* total moment: 0.0030 μB/atom


The following is a DFT calculation (PBE) of KHfSi after structural relaxation.

Cell lengths 6.839, 6.839, 6.839 Å; angles 90.00, 90.00, 90.00 degrees
Space group F-43m (No. 216)
One atom of each set of equivalent atoms:
K: 0.000 0.000 0.000 x4
Hf: 0.250 0.250 0.750 x4
Si: 0.250 0.250 0.250 x4

Values from the calculation:
* E above lowest polymorph: 982 meV per atom
* total moment: 0.1382 μB/atom


The following is a DFT calculation (PBE) of KHfSi after structural relaxation.

Cell lengths 6.832, 6.832, 6.832 Å; angles 90.00, 90.00, 90.00 degrees
Space group F-43m (No. 216)
One atom of each set of equivalent atoms:
K: 0.000 0.000 0.000 x4
Hf: 0.000 0.000 0.500 x4
Si: 0.250 0.250 0.750 x4

Values from the calculation:
* E above lowest polymorph: 0 meV per atom
* total moment: 0.0003 μB/atom


The following is a DFT calculation (PBE) of KSmHf after structural relaxation.

Cell lengths 7.874, 7.874, 7.874 Å; angles 90.00, 90.00, 90.00 degrees
Space group F-43m (No. 216)
One atom of each set of equivalent atoms:
K: 0.000 0.000 0.000 x4
Sm: 0.250 0.250 0.750 x4
Hf: 0.000 0.000 0.500 x4

Values from the calculation:
* E above lowest polymorph: 0 meV per atom
* total moment: 1.1346 μB/atom


The following is a DFT calculation (PBE) of KHfSn after structural relaxation.

Cell lengths 7.290, 7.290, 7.290 Å; angles 90.00, 90.00, 90.00 degrees
Space group F-43m (No. 216)
One atom of each set of equivalent atoms:
K: 0.000 0.000 0.000 x4
Hf: 0.000 0.000 0.500 x4
Sn: 0.250 0.250 0.750 x4

Values from the calculation:
* E above lowest polymorph: 0 meV per atom
* total moment: 0.0056 μB/atom


The following is a DFT calculation (PBE) of KHfSn after structural relaxation.

Cell lengths 7.274, 7.274, 7.274 Å; angles 90.00, 90.00, 90.00 degrees
Space group F-43m (No. 216)
One atom of each set of equivalent atoms:
K: 0.000 0.000 0.000 x4
Hf: 0.250 0.250 0.750 x4
Sn: 0.250 0.250 0.250 x4

Values from the calculation:
* E above lowest polymorph: 725 meV per atom
* total moment: 0.0554 μB/atom


The following is a DFT calculation (PBE) of KSrHf after structural relaxation.

Cell lengths 8.536, 8.536, 8.536 Å; angles 90.00, 90.00, 90.00 degrees
Space group F-43m (No. 216)
One atom of each set of equivalent atoms:
K: 0.000 0.000 0.000 x4
Sr: 0.000 0.000 0.500 x4
Hf: 0.250 0.250 0.250 x4

Values from the calculation:
* E above lowest polymorph: 0 meV per atom
* total moment: 1.1809 μB/atom


The following is a DFT calculation (PBE) of KHfTa after structural relaxation.

Cell lengths 7.103, 7.103, 7.103 Å; angles 90.00, 90.00, 90.00 degrees
Space group F-43m (No. 216)
One atom of each set of equivalent atoms:
K: 0.000 0.000 0.000 x4
Hf: 0.000 0.000 0.500 x4
Ta: 0.250 0.250 0.750 x4

Values from the calculation:
* E above lowest polymorph: 0 meV per atom
* total moment: 0.6837 μB/atom


The following is a DFT calculation (PBE) of KHfTa after structural relaxation.

Cell lengths 6.892, 6.892, 6.892 Å; angles 90.00, 90.00, 90.00 degrees
Space group F-43m (No. 216)
One atom of each set of equivalent atoms:
K: 0.000 0.000 0.000 x4
Hf: 0.250 0.250 0.750 x4
Ta: 0.250 0.250 0.250 x4

Values from the calculation:
* E above lowest polymorph: 578 meV per atom
* total moment: 0.0006 μB/atom


The following is a DFT calculation (PBE) of KTbHf after structural relaxation.

Cell lengths 7.497, 7.497, 7.497 Å; angles 90.00, 90.00, 90.00 degrees
Space group F-43m (No. 216)
One atom of each set of equivalent atoms:
K: 0.000 0.000 0.000 x4
Tb: 0.250 0.250 0.250 x4
Hf: 0.250 0.250 0.750 x4

Values from the calculation:
* electronic total energy: -3.429 eV/atom
* total moment: 0.5026 μB/atom


The following is a DFT calculation (PBE) of K2HfTe3 after structural relaxation.

Cell lengths 8.570, 4.151, 12.811 Å; angles 90.00, 91.46, 90.00 degrees
Space group P2_1/m (No. 11)
One atom of each set of equivalent atoms:
K: 0.132 0.250 0.352 x2
K: 0.255 0.750 0.015 x2
Hf: 0.329 0.250 0.709 x2
Te: 0.074 0.250 0.827 x2
Te: 0.267 0.750 0.558 x2
Te: 0.475 0.250 0.194 x2

Values from the calculation:
* electronic total energy: -4.555 eV/atom
* total moment: 0.0001 μB/atom


The following is a DFT calculation (PBE) of KHfZnTe3 after structural relaxation.

Cell lengths 4.156, 16.152, 11.064 Å; angles 90.00, 90.00, 90.00 degrees
Space group Cmcm (No. 63)
One atom of each set of equivalent atoms:
K: 0.000 0.243 0.250 x4
Hf: 0.000 0.000 0.000 x4
Zn: 0.000 0.465 0.750 x4
Te: 0.000 0.072 0.750 x4
Te: 0.000 0.375 0.550 x8

Values from the calculation:
* electronic total energy: -4.309 eV/atom
* total moment: 0.1171 μB/atom


The following is a DFT calculation (PBE) of KHfTl after structural relaxation.

Cell lengths 7.379, 7.379, 7.379 Å; angles 90.00, 90.00, 90.00 degrees
Space group F-43m (No. 216)
One atom of each set of equivalent atoms:
K: 0.000 0.000 0.000 x4
Hf: 0.250 0.250 0.750 x4
Tl: 0.250 0.250 0.250 x4

Values from the calculation:
* E above lowest polymorph: 532 meV per atom
* total moment: 0.0302 μB/atom


The following is a DFT calculation (PBE) of KHfTl after structural relaxation.

Cell lengths 7.411, 7.411, 7.411 Å; angles 90.00, 90.00, 90.00 degrees
Space group F-43m (No. 216)
One atom of each set of equivalent atoms:
K: 0.000 0.000 0.000 x4
Hf: 0.000 0.000 0.500 x4
Tl: 0.250 0.250 0.750 x4

Values from the calculation:
* E above lowest polymorph: 0 meV per atom
* total moment: 0.0018 μB/atom


The following is a DFT calculation (PBE) of KTmHf after structural relaxation.

Cell lengths 7.824, 7.824, 7.824 Å; angles 90.00, 90.00, 90.00 degrees
Space group F-43m (No. 216)
One atom of each set of equivalent atoms:
K: 0.000 0.000 0.000 x4
Tm: 0.250 0.250 0.750 x4
Hf: 0.000 0.000 0.500 x4

Values from the calculation:
* E above lowest polymorph: 0 meV per atom
* total moment: 1.0673 μB/atom


The following is a DFT calculation (PBE) of KHfU after structural relaxation.

Cell lengths 7.503, 7.503, 7.503 Å; angles 90.00, 90.00, 90.00 degrees
Space group F-43m (No. 216)
One atom of each set of equivalent atoms:
K: 0.000 0.000 0.000 x4
Hf: 0.250 0.250 0.250 x4
U: 0.000 0.000 0.500 x4

Values from the calculation:
* E above lowest polymorph: 0 meV per atom
* total moment: 1.4196 μB/atom


The following is a DFT calculation (PBE) of KHfZn after structural relaxation.

Cell lengths 6.961, 6.961, 6.961 Å; angles 90.00, 90.00, 90.00 degrees
Space group F-43m (No. 216)
One atom of each set of equivalent atoms:
K: 0.000 0.000 0.000 x4
Hf: 0.250 0.250 0.750 x4
Zn: 0.250 0.250 0.250 x4

Values from the calculation:
* E above lowest polymorph: 392 meV per atom
* total moment: 0.0004 μB/atom


The following is a DFT calculation (PBE) of KHfZn after structural relaxation.

Cell lengths 6.935, 6.935, 6.935 Å; angles 90.00, 90.00, 90.00 degrees
Space group F-43m (No. 216)
One atom of each set of equivalent atoms:
K: 0.000 0.000 0.000 x4
Hf: 0.250 0.250 0.250 x4
Zn: 0.000 0.000 0.500 x4

Values from the calculation:
* E above lowest polymorph: 0 meV per atom
* total moment: 0.0277 μB/atom


The following is a DFT calculation (PBE) of LaHf2 after structural relaxation.

Cell lengths 3.236, 3.236, 14.980 Å; angles 90.00, 90.00, 90.00 degrees
Space group I4/mmm (No. 139)
One atom of each set of equivalent atoms:
La: 0.000 0.000 0.000 x2
Hf: 0.000 0.000 0.318 x4

Values from the calculation:
* E above lowest polymorph: 0 meV per atom
* total moment: 0.0005 μB/atom


The following is a DFT calculation (PBE) of LiLaHfNi after structural relaxation.

Cell lengths 6.724, 6.724, 6.724 Å; angles 90.00, 90.00, 90.00 degrees
Space group F-43m (No. 216)
One atom of each set of equivalent atoms:
Li: 0.000 0.000 0.000 x4
La: 0.000 0.000 0.500 x4
Hf: 0.250 0.250 0.750 x4
Ni: 0.250 0.250 0.250 x4

Values from the calculation:
* E above lowest polymorph: 211 meV per atom
* total moment: 0.0001 μB/atom